# Ba2MgW (GGA-PBE, optimized geometry)
# * size of the total moment: 0.85 μB per formula unit
# * formation energy: 1.14 eV/atom
# * mass density: 4.42 g cm⁻³
data_Ba2MgW
_symmetry_space_group_name_H-M 'P 1'
_symmetry_Int_Tables_number 1
_symmetry_space_group_name_Hall 'P 1'
_cell_length_a 11.5426
_cell_length_b 11.5426
_cell_length_c 8.6035
_cell_angle_alpha 47.87
_cell_angle_beta 47.87
_cell_angle_gamma 90.00
loop_
_atom_site_label
_atom_site_fract_x
_atom_site_fract_y
_atom_site_fract_z
Mg1 0.5000 0.5000 0.0000
Mg2 0.2500 0.7500 0.5000
Ba1 0.8142 0.1250 0.2500
Ba2 0.9358 0.6250 0.2500
Ba3 0.3750 0.1858 0.7500
Ba4 0.8750 0.0642 0.7500
W1 0.0000 0.0000 0.0000
W2 0.7500 0.2500 0.5000

# SrPa2GeO8 (GGA-PBE, optimized geometry)
# * formation energy (no corrections): -2.929 eV per atom
# * size of the total moment: 0.00 μB per formula unit
# * mass density: 7.10 g cm⁻³
data_SrPa2GeO8
_symmetry_space_group_name_H-M 'P 1'
_symmetry_Int_Tables_number 1
_symmetry_space_group_name_Hall 'P 1'
_cell_length_a 4.9846
_cell_length_b 4.9847
_cell_length_c 7.0746
_cell_angle_alpha 90.00
_cell_angle_beta 90.00
_cell_angle_gamma 87.27
loop_
_atom_site_label
_atom_site_fract_x
_atom_site_fract_y
_atom_site_fract_z
Sr1 0.0000 0.0000 0.5000
Pa1 0.5000 0.5000 0.7587
Pa2 0.5000 0.5000 0.2413
Ge1 0.0000 0.0000 0.0000
O1 0.1904 0.8091 0.1962
O2 0.7001 0.7007 0.0000
O3 0.8097 0.1909 0.1962
O4 0.8096 0.1909 0.8038
O5 0.2999 0.2993 0.0000
O6 0.1903 0.8091 0.8038
O7 0.6709 0.6715 0.5000
O8 0.3291 0.3285 0.5000